Record 1
CsCoSi2Bi | meta-GGA SCAN | single point on PBEsol structure

Cell and atoms, written as POSCAR:
```
CsCoSi2Bi
1.0
-3.486 -1.930 2.819
1.618 -5.120 -1.504
3.551 -0.140 4.296
Co Bi Si Cs
1 1 2 1
direct
0.500 0.000 0.000
0.000 0.000 0.000
0.000 0.500 0.000
0.000 0.000 0.500
0.500 0.500 0.500
```

Computed properties:
* total DFT energy (no corrections): -147.795 eV per cell

***

Record 2
Na3InGa | meta-GGA SCAN | single point on PBEsol structure

Cell and atoms, written as POSCAR:
```
Na3InGa
1.0
-0.892 -2.798 4.926
5.369 1.173 1.639
-1.807 4.867 2.438
Ga Na In
1 3 1
direct
0.500 0.500 0.500
0.000 0.500 0.000
0.000 0.000 0.500
0.500 0.000 0.000
0.000 0.000 0.000
```

Computed properties:
* total DFT energy (no corrections): -60.470 eV per cell

***

Record 3
TaTlAsSe2 | meta-GGA SCAN | single point on PBEsol structure

Cell and atoms, written as POSCAR:
```
TaTlAsSe2
1.0
5.020 0.000 0.000
0.000 5.020 0.000
0.000 0.000 5.026
Se Ta As Tl
2 1 1 1
direct
0.500 0.000 0.000
0.000 0.500 0.000
0.000 0.000 0.000
0.000 0.000 0.500
0.500 0.500 0.500
```

Computed properties:
* total DFT energy (no corrections): -200.330 eV per cell

***

Record 4
NbNF2 | meta-GGA SCAN | single point on PBEsol structure

Cell and atoms, written as POSCAR:
```
NbNF2
1.0
-1.479 -1.475 3.076
-1.576 -3.366 -0.124
1.653 -2.890 1.657
F Nb N
2 1 1
direct
0.750 0.750 0.750
0.250 0.250 0.250
0.500 0.500 0.500
0.000 0.000 0.000
```

Computed properties:
* offset from the most stable computed form: 0.0 meV per atom

***

What did the fourth record say?
NbNF2 | meta-GGA SCAN | single point on PBEsol structure

Cell and atoms, written as POSCAR:
```
NbNF2
1.0
-1.479 -1.475 3.076
-1.576 -3.366 -0.124
1.653 -2.890 1.657
F Nb N
2 1 1
direct
0.750 0.750 0.750
0.250 0.250 0.250
0.500 0.500 0.500
0.000 0.000 0.000
```

Computed properties:
* offset from the most stable computed form: 0.0 meV per atom